*i*
# TeS3 | Alexandria via LeMat-Bulk | PBE-GGA | relaxed
# Density: 4.30 Mg/m³
data_TeS3
_chemical_formula_sum 'Te2 S6'
_symmetry_space_group_name_H-M 'P 63/m m c'
_symmetry_Int_Tables_number 194
_symmetry_space_group_name_Hall '-P 6c 2c'
_cell_length_a 7.3205
_cell_length_b 7.3205
_cell_length_c 3.7265
_cell_angle_alpha 90.00
_cell_angle_beta 90.00
_cell_angle_gamma 120.00
loop_
_atom_site_label
_atom_site_fract_x
_atom_site_fract_y
_atom_site_fract_z
_atom_site_occupancy
Te1 0.3333 0.6667 0.2500 1
S1 0.1791 0.3582 0.7500 1

=====

*ii*
# TeS3 | Alexandria via LeMat-Bulk | PBE-GGA | relaxed
# Density: 2.72 Mg/m³
data_TeS3
_chemical_formula_sum 'Te2 S6'
_symmetry_space_group_name_H-M 'P -1'
_symmetry_Int_Tables_number 2
_cell_length_a 4.916
_cell_length_b 7.089
_cell_length_c 8.009
_cell_angle_alpha 100.89
_cell_angle_beta 92.95
_cell_angle_gamma 93.22
loop_
_symmetry_equiv_pos_as_xyz
'x,y,z'
'-x,-y,-z'
loop_
_atom_site_label
_atom_site_fract_x
_atom_site_fract_y
_atom_site_fract_z
_atom_site_occupancy
Te1 0.209 0.393 0.307 1
S1 0.165 0.869 0.846 1
S2 0.187 0.842 0.083 1
S3 0.215 0.327 0.574 1

=====

We find *ii* to be the most stable, with the next structure 40.7 kJ/mol of atoms higher.